1.
{"formula": "MgGa3Cu3", "functional": "PBE", "state": "relaxed", "lattice_angstrom": [[7.335, 0.000, 0.000], [3.667, 6.352, 0.000], [3.667, 2.117, 4.893]], "species": ["Ga", "Mg", "Cu", "Ga", "Cu", "Cu", "Ga", "Ga", "Ga", "Cu", "Cu", "Ga", "Mg", "Cu"], "frac_coords": [[0.551, 0.210, 0.365], [0.671, 0.671, 0.987], [0.952, 0.257, 0.138], [0.790, 0.126, 0.635], [0.743, 0.347, 0.862], [0.653, 0.952, 0.138], [0.449, 0.790, 0.635], [0.874, 0.551, 0.365], [0.210, 0.874, 0.365], [0.347, 0.048, 0.862], [0.257, 0.653, 0.138], [0.126, 0.449, 0.635], [0.329, 0.329, 0.013], [0.048, 0.743, 0.862]], "m_tot_mub_per_cell": 0.00}



2.
{"formula": "MgGa6Cu6", "functional": "PBE", "state": "relaxed", "lattice_angstrom": [[4.784, 0.000, 1.912], [2.325, 6.084, 1.123], [0.133, 0.034, 6.608]], "species": ["Ga", "Cu", "Ga", "Cu", "Ga", "Ga", "Cu", "Ga", "Ga", "Cu", "Cu", "Cu", "Mg"], "frac_coords": [[0.344, 0.656, 0.656], [0.500, 0.000, 0.500], [0.682, 0.818, 0.818], [0.000, 0.500, 0.000], [0.318, 0.182, 0.182], [0.000, 0.347, 0.653], [0.000, 0.000, 0.500], [0.000, 0.653, 0.347], [0.656, 0.344, 0.344], [0.500, 0.241, 0.759], [0.500, 0.500, 0.000], [0.500, 0.759, 0.241], [0.000, 0.000, 0.000]], "m_tot_mub_per_cell": 0.00}



3.
{"formula": "MgGa2Cu5", "functional": "PBE", "state": "relaxed", "lattice_angstrom": [[2.731, 0.000, 0.000], [1.365, 6.438, 0.122], [1.365, 1.303, 6.306]], "species": ["Cu", "Mg", "Cu", "Cu", "Ga", "Cu", "Ga", "Cu"], "frac_coords": [[0.372, 0.860, 0.396], [0.000, 0.000, 0.000], [0.000, 0.500, 0.500], [0.628, 0.604, 0.140], [0.246, 0.254, 0.254], [0.628, 0.140, 0.604], [0.754, 0.746, 0.746], [0.372, 0.396, 0.860]], "m_tot_mub_per_cell": 0.00}



4.
{"formula": "MgGaCu", "functional": "PBE", "state": "relaxed", "lattice_angstrom": [[3.063, 0.000, 0.000], [0.000, 4.294, 0.000], [0.000, -2.147, 3.719]], "species": ["Mg", "Ga", "Cu"], "frac_coords": [[0.667, 0.667, 0.333], [0.167, 0.000, 0.000], [0.166, 0.333, 0.667]], "m_tot_mub_per_cell": 0.00}



Number 1: DFT formation energy -0.12 eV/atom. Number 2: DFT formation energy -0.13 eV/atom. Number 3: DFT formation energy -0.08 eV/atom. Number 4: DFT formation energy -0.16 eV/atom.